A plane-wave DFT calculation with PBE was carried out for a relaxed structure of ThRe4N8.

Lattice parameters (Å, degrees): 5.842 5.842 6.773 64.45 64.45 60.00
Fractional positions:
Th  0.500  0.500  0.500
Re  0.000  0.500  0.000
Re  0.500  0.500  0.000
Re  0.500  0.000  0.000
Re  0.000  0.000  0.000
N  0.739  0.235  0.791
N  0.765  0.261  0.209
N  0.261  0.765  0.209
N  0.765  0.765  0.209
N  0.732  0.732  0.805
N  0.268  0.268  0.195
N  0.235  0.235  0.791
N  0.235  0.739  0.791

Values from the calculation:
**VASP energy**: -9.612 eV per atom
**Uncorrected formation energy**: -0.088 eV/atom